This record from Alexandria via LeMat-Bulk describes a relaxed structure of LiVF4. The functional is PBE with a Hubbard U.

Unit cell a=10.352 b=3.041 c=6.458 alpha=90.00 beta=126.19 gamma=90.00
Space group C2/m (No. 12)
Symmetry-distinct sites (fractional):
Li  0.000  0.000  0.000 (multiplicity 2)
V  0.000  0.500  0.500 (multiplicity 2)
F  0.007  0.500  0.806 (multiplicity 4)
F  0.156  0.000  0.643 (multiplicity 4)

Values from the calculation:
The density of states at the Fermi level is 0.000 states/eV per atom. The relative energy among the computed polymorphs comes out at 48.0 meV per atom.